a.
A relaxed structure of Er4MgCo. Source: Alexandria via LeMat-Bulk, functional PBE-GGA.

## Properties
As for the crystal system: monoclinic.

The structure in POSCAR format:
```
Er4MgCo
1.0
-1.2780 -2.6892 5.1391
6.4269 -4.5228 -4.6151
1.8563 6.9775 2.6041
Co Er Mg
2 8 2
Direct
0.7511 0.0011 0.0022 Co
0.2489 0.9989 0.9978 Co
0.9264 0.8088 0.1715 Er
0.3940 0.9411 0.6727 Er
0.6060 0.0589 0.3273 Er
0.2213 0.2684 0.3273 Er
0.0736 0.1912 0.8285 Er
0.7451 0.3627 0.1715 Er
0.2549 0.6373 0.8285 Er
0.7787 0.7316 0.6727 Er
0.3709 0.6209 0.2417 Mg
0.6291 0.3791 0.7583 Mg
```

---

b.
A relaxed structure of Er4MgCo. Source: Alexandria via LeMat-Bulk, functional PBE-GGA.

## Properties
As for the crystal system: cubic.

The structure in POSCAR format:
```
Er4MgCo
1.0
-4.6483 2.5540 -7.8650
-5.4840 -6.2835 -4.5201
-9.4365 0.9553 0.1665
Er Co Mg
16 4 4
Direct
0.4366 0.0634 0.0634 Er
0.4366 0.0634 0.4366 Er
0.1873 0.1873 0.8127 Er
0.5942 0.2175 0.5942 Er
0.8127 0.1873 0.8127 Er
0.0634 0.4366 0.0634 Er
0.0634 0.4366 0.4366 Er
0.4366 0.4366 0.0634 Er
0.5942 0.5942 0.5942 Er
0.1873 0.8127 0.1873 Er
0.8127 0.1873 0.1873 Er
0.2175 0.5942 0.5942 Er
0.1873 0.8127 0.8127 Er
0.5942 0.5942 0.2175 Er
0.8127 0.8127 0.1873 Er
0.0634 0.0634 0.4366 Er
0.3906 0.3906 0.8282 Co
0.3906 0.8282 0.3906 Co
0.3906 0.3906 0.3906 Co
0.8282 0.3906 0.3906 Co
0.8292 0.5123 0.8292 Mg
0.8292 0.8292 0.5123 Mg
0.5123 0.8292 0.8292 Mg
0.8292 0.8292 0.8292 Mg
```

---

So which one is most stable? That would be b, about 6.3 kJ/mol of atoms below the next structure.

---

a.
A relaxed structure of Er3MgCo. Source: Alexandria via LeMat-Bulk, functional PBE-GGA.

## Properties
As for the crystal system: cubic.

The structure in POSCAR format:
```
Er3MgCo
1.0
5.1593 0.0000 0.0000
0.0000 5.1593 0.0000
0.0000 0.0000 5.1593
Er Mg Co
3 1 1
Direct
0.5000 0.0000 0.0000 Er
0.0000 0.5000 0.0000 Er
0.0000 0.0000 0.5000 Er
0.5000 0.5000 0.5000 Mg
0.0000 0.0000 0.0000 Co
```

---

b.
A relaxed structure of Er3MgCo. Source: Alexandria via LeMat-Bulk, functional PBE-GGA.

## Properties
As for the crystal system: monoclinic.

The structure in POSCAR format:
```
Er3MgCo
1.0
-1.1072 -2.6951 1.9385
1.4583 -2.4754 -5.7677
10.4811 -0.6412 5.0952
Mg Er Co
2 6 2
Direct
0.1538 0.3076 0.0247 Mg
0.8462 0.6924 0.9753 Mg
0.2083 0.4166 0.7360 Er
0.5055 0.0110 0.1834 Er
0.1144 0.2288 0.4420 Er
0.4945 0.9890 0.8166 Er
0.7917 0.5834 0.2640 Er
0.8856 0.7712 0.5580 Er
0.5632 0.1264 0.6149 Co
0.4368 0.8736 0.3851 Co
```

---

So which one is most stable? That would be b, about 7.6 kJ/mol of atoms below the next structure.

---

a.
A relaxed structure of SmErMgCo. Source: Alexandria via LeMat-Bulk, functional PBE-GGA.

## Properties
As for the crystal system: tetragonal.

The structure in POSCAR format:
```
SmErMgCo
1.0
-1.7671 2.4181 -1.6480
-2.7329 -2.0520 -0.0804
-2.4818 3.0269 7.1024
Mg Sm Co Er
1 1 1 1
Direct
0.0000 0.0000 0.0797 Mg
0.5000 0.5000 0.7733 Sm
0.0000 0.0000 0.5611 Co
0.5000 0.5000 0.3706 Er
```

---

b.
A relaxed structure of SmErMgCo. Source: Alexandria via LeMat-Bulk, functional PBE-GGA.

## Properties
As for the crystal system: cubic.

The structure in POSCAR format:
```
SmErMgCo
1.0
5.0522 0.0000 0.0000
2.5261 4.3754 0.0000
2.5261 1.4585 4.1251
Sm Mg Co Er
1 1 1 1
Direct
0.2500 0.2500 0.2500 Sm
0.5000 0.5000 0.5000 Mg
0.0000 0.0000 0.0000 Co
0.7500 0.7500 0.7500 Er
```

---

So which one is most stable? That would be a, about 12.1 kJ/mol of atoms below the next structure.

---

a.
A relaxed structure of TbErMgCo. Source: Alexandria via LeMat-Bulk, functional PBE-GGA.

## Properties
As for the crystal system: cubic.

The structure in POSCAR format:
```
TbErMgCo
1.0
5.0078 0.0000 0.0000
2.5039 4.3369 0.0000
2.5039 1.4456 4.0888
Co Tb Mg Er
1 1 1 1
Direct
0.5000 0.5000 0.5000 Co
0.2500 0.2500 0.2500 Tb
0.0000 0.0000 0.0000 Mg
0.7500 0.7500 0.7500 Er
```

---

b.
A relaxed structure of TbErMgCo. Source: Alexandria via LeMat-Bulk, functional PBE-GGA.

## Properties
As for the crystal system: tetragonal.

The structure in POSCAR format:
```
TbErMgCo
1.0
3.3908 0.0000 0.0000
0.0000 3.3908 0.0000
0.0000 0.0000 8.0589
Er Mg Co Tb
1 1 1 1
Direct
0.5000 0.5000 0.3708 Er
0.0000 0.0000 0.0751 Mg
0.0000 0.0000 0.5667 Co
0.5000 0.5000 0.7721 Tb
```

---

So which one is most stable? That would be b, about 12.6 kJ/mol of atoms below the next structure.